Here is a relaxed TmTiGa4 crystal from the Alexandria database. Energies are from GGA-PBE.

Cell lengths 5.295, 5.295, 5.295 Å; angles 60.00, 60.00, 60.00 degrees
Fractional positions:
Ti1 0.000 0.000 0.000
Ga1 0.625 0.625 0.124
Ga2 0.625 0.124 0.625
Ga3 0.124 0.625 0.625
Ga4 0.625 0.625 0.625
Tm1 0.250 0.250 0.250

Values from the calculation:
For the total magnetization, the calculation gives 0.03 μB/atom. As for the relative energy among the computed polymorphs: 0.13 eV/f.u. The energy of formation is -0.37 eV per atom. The total energy comes out at -4.454 eV per atom.


Here is a relaxed TmTi2Ga8 crystal from the Alexandria database. Energies are from GGA-PBE.

Cell lengths 5.177, 7.258, 6.933 Å; angles 58.43, 80.21, 71.05 degrees
Fractional positions:
Ga1 0.839 0.335 0.785
Ga2 0.737 0.584 0.000
Ga3 0.500 0.749 0.503
Ga4 0.161 0.880 0.785
Ga5 0.263 0.416 0.000
Ga6 0.839 0.120 0.215
Ga7 0.500 0.251 0.497
Ga8 0.161 0.665 0.215
Tm1 0.500 0.000 0.000
Ti1 0.000 0.283 0.433
Ti2 0.000 0.717 0.567

Values from the calculation:
For the total magnetization, the calculation gives 0.00 μB/atom. The energy of formation is -0.17 eV per atom. The total energy comes out at -4.210 eV per atom.


Here is a relaxed TmTiZnGa crystal from the Alexandria database. Energies are from GGA-PBE.

Cell lengths 4.714, 4.714, 4.714 Å; angles 60.00, 60.00, 60.00 degrees
Fractional positions:
Tm1 0.750 0.750 0.750
Ga1 0.500 0.500 0.500
Zn1 0.000 0.000 0.000
Ti1 0.250 0.250 0.250

Values from the calculation:
For the total magnetization, the calculation gives 0.00 μB/atom. The energy of formation is -0.31 eV per atom. The total energy comes out at -4.481 eV per atom.


Here is a relaxed UTi2Ga crystal from the Alexandria database. Energies are from GGA-PBE.

Cell lengths 4.635, 4.635, 4.635 Å; angles 60.00, 60.00, 60.00 degrees
Fractional positions:
Ti1 0.750 0.750 0.750
Ti2 0.250 0.250 0.250
U1 0.000 0.000 0.000
Ga1 0.500 0.500 0.500

Values from the calculation:
For the total magnetization, the calculation gives 0.57 μB/atom. As for the relative energy among the computed polymorphs: 0.49 eV/f.u. The energy of formation is 0.01 eV per atom. The total energy comes out at -7.516 eV per atom.


Here is a relaxed UTiGa crystal from the Alexandria database. Energies are from GGA-PBE.

Cell lengths 4.555, 5.318, 5.511 Å; angles 73.23, 90.00, 115.35 degrees
Fractional positions:
Ga1 0.140 0.279 0.391
Ga2 0.860 0.721 0.609
Ti1 0.219 0.438 0.872
Ti2 0.781 0.562 0.128
U1 0.540 0.081 0.759
U2 0.460 0.919 0.241

Values from the calculation:
For the total magnetization, the calculation gives 0.49 μB/atom. As for the relative energy among the computed polymorphs: 0.00 eV/f.u. The energy of formation is -0.06 eV per atom. The total energy comes out at -7.463 eV per atom.


Here is a relaxed UTiGa crystal from the Alexandria database. Energies are from GGA-PBE.

Cell lengths 2.856, 4.780, 4.780 Å; angles 120.00, 90.00, 90.00 degrees
Fractional positions:
Ga1 0.834 0.333 0.667
Ti1 0.833 0.000 0.000
U1 0.333 0.667 0.333

Values from the calculation:
For the total magnetization, the calculation gives 0.55 μB/atom. As for the relative energy among the computed polymorphs: 0.19 eV/f.u. The energy of formation is 0.00 eV per atom. The total energy comes out at -7.401 eV per atom.


Here is a relaxed U4TiGa15 crystal from the Alexandria database. Energies are from GGA-PBE.

Cell lengths 4.214, 4.214, 21.048 Å; angles 90.00, 90.00, 90.00 degrees
Fractional positions:
Ga1 0.000 0.500 0.500
Ga2 0.500 0.500 0.195
Ga3 0.000 0.500 0.295
Ga4 0.500 0.500 0.805
Ga5 0.000 0.500 0.705
Ga6 0.500 0.000 0.909
Ga7 0.500 0.500 0.602
Ga8 0.500 0.000 0.091
Ga9 0.000 0.500 0.091
Ga10 0.500 0.000 0.500
Ga11 0.500 0.000 0.705
Ga12 0.500 0.500 0.398
Ga13 0.000 0.500 0.909
Ga14 0.500 0.000 0.295
Ga15 0.500 0.500 0.000
U1 0.000 0.000 0.808
U2 0.000 0.000 0.192
U3 0.000 0.000 0.602
U4 0.000 0.000 0.398
Ti1 0.000 0.000 0.000

Values from the calculation:
For the total magnetization, the calculation gives 0.45 μB/atom. The energy of formation is -0.26 eV per atom. The total energy comes out at -5.179 eV per atom.


Here is a relaxed UTi2Ga crystal from the Alexandria database. Energies are from GGA-PBE.

Cell lengths 3.618, 4.401, 4.401 Å; angles 90.00, 90.00, 90.00 degrees
Fractional positions:
Ga1 0.500 0.000 0.000
Ti1 0.000 0.000 0.500
Ti2 0.000 0.500 0.000
U1 0.500 0.500 0.500

Values from the calculation:
For the total magnetization, the calculation gives 0.41 μB/atom. As for the relative energy among the computed polymorphs: 0.00 eV/f.u. The energy of formation is -0.11 eV per atom. The total energy comes out at -7.639 eV per atom.


Here is a relaxed Ti4V9Ga11 crystal from the Alexandria database. Energies are from GGA-PBE.

Cell lengths 2.668, 11.438, 11.438 Å; angles 88.96, 90.00, 90.00 degrees
Fractional positions:
Ti1 0.500 0.454 0.281
Ti2 0.500 0.546 0.719
Ti3 0.500 0.281 0.454
Ti4 0.500 0.719 0.546
Ga1 0.000 0.656 0.344
Ga2 0.000 0.170 0.830
Ga3 0.000 0.830 0.170
Ga4 0.000 0.242 0.242
Ga5 0.000 0.000 0.000
Ga6 0.000 0.414 0.076
Ga7 0.000 0.344 0.656
Ga8 0.000 0.758 0.758
Ga9 0.000 0.924 0.586
Ga10 0.000 0.076 0.414
Ga11 0.000 0.586 0.924
V1 0.500 0.627 0.125
V2 0.500 0.793 0.963
V3 0.500 0.125 0.627
V4 0.500 0.963 0.793
V5 0.500 0.373 0.875
V6 0.500 0.500 0.500
V7 0.500 0.875 0.373
V8 0.500 0.037 0.207
V9 0.500 0.207 0.037

Values from the calculation:
For the total magnetization, the calculation gives 0.00 μB/atom. The energy of formation is -0.21 eV per atom. The total energy comes out at -6.333 eV per atom.


Here is a relaxed TiV3Ga crystal from the Alexandria database. Energies are from GGA-PBE.

Cell lengths 4.484, 4.484, 4.484 Å; angles 90.00, 90.00, 90.00 degrees
Fractional positions:
Ga1 0.000 0.000 0.000
V1 0.000 0.000 0.500
V2 0.500 0.000 0.000
V3 0.000 0.500 0.000
Ti1 0.500 0.500 0.500

Values from the calculation:
For the total magnetization, the calculation gives 0.00 μB/atom. As for the relative energy among the computed polymorphs: 3.93 eV/f.u. The energy of formation is 1.07 eV per atom. The total energy comes out at -6.587 eV per atom.


Here is a relaxed Ti3VGa2 crystal from the Alexandria database. Energies are from GGA-PBE.

Cell lengths 3.477, 4.140, 6.807 Å; angles 107.71, 90.00, 90.00 degrees
Fractional positions:
Ga1 0.000 0.657 0.314
Ga2 0.000 0.343 0.686
Ti1 0.500 0.168 0.336
Ti2 0.500 0.832 0.664
Ti3 0.500 0.500 0.000
V1 0.000 0.000 0.000

Values from the calculation:
For the total magnetization, the calculation gives 0.00 μB/atom. The energy of formation is -0.35 eV per atom. The total energy comes out at -6.829 eV per atom.


Here is a relaxed Ti3VGa crystal from the Alexandria database. Energies are from GGA-PBE.

Cell lengths 4.533, 4.533, 4.533 Å; angles 90.00, 90.00, 90.00 degrees
Fractional positions:
Ga1 0.500 0.500 0.500
V1 0.000 0.000 0.000
Ti1 0.000 0.000 0.500
Ti2 0.000 0.500 0.000
Ti3 0.500 0.000 0.000

Values from the calculation:
For the total magnetization, the calculation gives 0.00 μB/atom. As for the relative energy among the computed polymorphs: 2.84 eV/f.u. The energy of formation is 0.60 eV per atom. The total energy comes out at -6.562 eV per atom.